(1)
This record from Alexandria describes a geometry-optimized Nd2Zn2GeRh5 structure. The functional is GGA-PBE.

Cell: 9.8367 9.8367 3.5625 Å, 90.00 90.00 90.00°
With the nearest neighbours (Å) after each atom.
Atoms (fractional coordinates):
Nd  0.1738  0.3262  0.0000  3 Zn 2.79-2.99, 2 Rh 3.00
Nd  0.3262  0.8262  0.0000  3 Zn 2.79-2.99, 2 Rh 3.00
Nd  0.6738  0.1738  0.0000  3 Zn 2.79-2.99, 2 Rh 3.00
Nd  0.8262  0.6738  0.0000  3 Zn 2.79-2.99, 2 Rh 3.00
Zn  0.1259  0.6259  0.0000  6 Rh 2.50-2.56, 1 Nd 2.79
Zn  0.3741  0.1259  0.0000  6 Rh 2.50-2.56, 1 Nd 2.79
Zn  0.6259  0.8741  0.0000  6 Rh 2.50-2.56, 1 Nd 2.79
Zn  0.8741  0.3741  0.0000  6 Rh 2.50-2.56, 1 Nd 2.79
Ge  0.0000  0.0000  0.0000  8 Rh 2.71
Ge  0.5000  0.5000  0.0000  8 Rh 2.71
Rh  0.0000  0.5000  0.5000  4 Zn 2.50
Rh  0.0606  0.8017  0.5000  2 Zn 2.56, 2 Ge 2.71
Rh  0.1983  0.0606  0.5000  2 Zn 2.56, 2 Ge 2.71
Rh  0.3017  0.5606  0.5000  2 Zn 2.56, 2 Ge 2.71
Rh  0.4394  0.3017  0.5000  2 Zn 2.56, 2 Ge 2.71
Rh  0.5000  0.0000  0.5000  4 Zn 2.50
Rh  0.5606  0.6983  0.5000  2 Zn 2.56, 2 Ge 2.71
Rh  0.6983  0.4394  0.5000  2 Zn 2.56, 2 Ge 2.71
Rh  0.8017  0.9394  0.5000  2 Zn 2.56, 2 Ge 2.71
Rh  0.9394  0.1983  0.5000  2 Zn 2.56, 2 Ge 2.71

Output
Symmetry   P4/mbm (127)


(2)
This record from Alexandria describes a geometry-optimized Nd2ZnGe2Rh5 structure. The functional is GGA-PBE.

Cell: 9.9253 9.9253 3.5727 Å, 90.00 90.00 90.00°
With the nearest neighbours (Å) after each atom.
Atoms (fractional coordinates):
Nd  0.1745  0.3255  0.0000  3 Ge 2.82-3.01, 2 Rh 3.03
Nd  0.3255  0.8255  0.0000  3 Ge 2.82-3.01, 2 Rh 3.03
Nd  0.6745  0.1745  0.0000  3 Ge 2.82-3.01, 2 Rh 3.03
Nd  0.8255  0.6745  0.0000  3 Ge 2.82-3.01, 2 Rh 3.03
Zn  0.0000  0.0000  0.0000  8 Rh 2.80
Zn  0.5000  0.5000  0.0000  8 Rh 2.80
Ge  0.1248  0.6248  0.0000  6 Rh 2.50-2.51
Ge  0.3752  0.1248  0.0000  6 Rh 2.50-2.51
Ge  0.6248  0.8752  0.0000  6 Rh 2.50-2.51
Ge  0.8752  0.3752  0.0000  6 Rh 2.50-2.51
Rh  0.0000  0.5000  0.5000  4 Ge 2.50
Rh  0.0650  0.7927  0.5000  2 Ge 2.51, 2 Zn 2.80
Rh  0.2073  0.0650  0.5000  2 Ge 2.51, 2 Zn 2.80
Rh  0.2927  0.5650  0.5000  2 Ge 2.51, 2 Zn 2.80
Rh  0.4350  0.2927  0.5000  2 Ge 2.51, 2 Zn 2.80
Rh  0.5000  0.0000  0.5000  4 Ge 2.50
Rh  0.5650  0.7073  0.5000  2 Ge 2.51, 2 Zn 2.80
Rh  0.7073  0.4350  0.5000  2 Ge 2.51, 2 Zn 2.80
Rh  0.7927  0.9350  0.5000  2 Ge 2.51, 2 Zn 2.80
Rh  0.9350  0.2073  0.5000  2 Ge 2.51, 2 Zn 2.80

Output
Symmetry   P4/mbm (127)


(3)
This record from Alexandria describes a geometry-optimized NdZn2GeRh2 structure. The functional is GGA-PBE.

Cell: 4.5870 4.5870 5.7121 Å, 90.00 90.00 90.00°
With the nearest neighbours (Å) after each atom.
Atoms (fractional coordinates):
Nd  0.0000  0.0000  0.0000  2 Ge 2.86
Zn  0.5000  0.5000  0.2376  2 Zn 2.71-3.00, 4 Rh 2.74
Zn  0.5000  0.5000  0.7624  2 Zn 2.71-3.00, 4 Rh 2.74
Ge  0.0000  0.0000  0.5000  4 Rh 2.29
Rh  0.0000  0.5000  0.5000  2 Ge 2.29
Rh  0.5000  0.0000  0.5000  2 Ge 2.29

Output
Symmetry   P4/mmm (123)


(4)
This record from Alexandria describes a geometry-optimized NdZrGe2Rh5 structure. The functional is GGA-PBE.

Cell: 3.9981 3.9981 11.3274 Å, 90.00 90.00 90.00°
With the nearest neighbours (Å) after each atom.
Atoms (fractional coordinates):
Nd  0.0000  0.0000  0.0000  4 Rh 2.83
Zr  0.0000  0.0000  0.5000  8 Rh 2.73
Ge  0.5000  0.5000  0.2122  5 Rh 2.40-2.44
Ge  0.5000  0.5000  0.7878  5 Rh 2.40-2.44
Rh  0.0000  0.5000  0.3361  2 Ge 2.44, 2 Zr 2.73
Rh  0.0000  0.5000  0.6639  2 Ge 2.44, 2 Zr 2.73
Rh  0.5000  0.0000  0.3361  2 Ge 2.44, 2 Zr 2.73
Rh  0.5000  0.0000  0.6639  2 Ge 2.44, 2 Zr 2.73
Rh  0.5000  0.5000  0.0000  2 Ge 2.40

Output
Symmetry   P4/mmm (123)


Which total moment belongs to each record? In order, 0.000 0.000 0.088 0.000 μB/atom.
Which mass density belongs to each record? In order, 9.7 9.6 7.6 8.2 g cm⁻³.
Which ΔH_f (0 K) belongs to each record? In order, -556 -671 -288 -458 meV/atom.